Density functional theory data (GGA-PBE) for an optimized crystal structure of CdAs2.

The structure in CIF format:
```
data_CdAs2
_chemical_formula_sum 'Cd4 As8'
_symmetry_space_group_name_H-M 'I 4/m c m'
_symmetry_Int_Tables_number 140
_symmetry_space_group_name_Hall '-I 4 2c'
_cell_length_a 6.5515
_cell_length_b 6.5515
_cell_length_c 6.1646
_cell_angle_alpha 90.00
_cell_angle_beta 90.00
_cell_angle_gamma 90.00
loop_
_atom_site_label
_atom_site_type_symbol
_atom_site_fract_x
_atom_site_fract_y
_atom_site_fract_z
_atom_site_occupancy
Cd1 Cd 0.0000 0.0000 0.2500 1
As1 As 0.1292 0.3708 0.0000 1
```

Summary:
Theoretical density, Mg/m³: 6.58
Uncorrected energy, eV per cell: -37.84
Energy relative to the elements, meV per atom: 251.7
Crystal system: tetragonal